Run A
Ir2OsW: optimized geometry, PBE.

Results
crystal system = tetragonal
V = 14.779 Å³ per atom

Cell lengths 4.7924, 4.7924, 4.7924 Å; angles 132.26, 132.26, 69.81 degrees
With the nearest neighbours (Å) after each atom.
Sites, in units of the cell vectors:
Ir 0.2500 0.7500 0.5000  4 Ir 2.74, 4 W 2.76, 4 Os 2.76
Ir 0.7500 0.2500 0.5000  4 Ir 2.74, 4 W 2.76, 4 Os 2.76
Os 0.0000 0.0000 0.0000  4 W 2.74, 8 Ir 2.76
W 0.5000 0.5000 0.0000  4 Os 2.74, 8 Ir 2.76

---

Run B
Ir2OsW: optimized geometry, PBE.

Results
crystal system = trigonal
V = 14.840 Å³ per atom

Cell lengths 9.1004, 9.1004, 9.1004 Å; angles 17.48, 17.48, 17.48 degrees
With the nearest neighbours (Å) after each atom.
Sites, in units of the cell vectors:
Ir 0.2492 0.2492 0.2492  3 Os 2.73, 6 Ir 2.77, 3 W 2.77
Ir 0.7508 0.7508 0.7508  3 Os 2.73, 6 Ir 2.77, 3 W 2.77
Os 0.5000 0.5000 0.5000  6 Ir 2.73, 6 Os 2.77
W 0.0000 0.0000 0.0000  6 W 2.77, 6 Ir 2.77

---

From most stable to least stable, the computed energies give run A, run B.

---

Run A
IrOsW: optimized geometry, PBE.

Results
crystal system = hexagonal
V = 15.333 Å³ per atom

Cell lengths 4.3976, 4.3976, 2.7466 Å; angles 90.00, 90.00, 120.00 degrees
With the nearest neighbours (Å) after each atom.
Sites, in units of the cell vectors:
Ir 0.0000 0.0000 0.0000  2 Ir 2.75, 6 W 2.89, 6 Os 2.89
Os 0.3333 0.6667 0.5000  3 W 2.54, 2 Os 2.75
W 0.6667 0.3333 0.5000  3 Os 2.54, 2 W 2.75

---

Run B
IrOsW: optimized geometry, PBE.

Results
crystal system = hexagonal
V = 15.206 Å³ per atom

Cell lengths 4.3900, 4.3900, 5.4664 Å; angles 90.00, 90.00, 120.00 degrees
With the nearest neighbours (Å) after each atom.
Sites, in units of the cell vectors:
Ir 0.3333 0.6667 0.2500  5 W 2.53-2.73
Ir 0.6667 0.3333 0.7500  5 W 2.53-2.73
Os 0.0000 0.0000 0.0000  2 Os 2.73, 6 W 2.88, 6 Ir 2.88
Os 0.0000 0.0000 0.5000  2 Os 2.73, 6 Ir 2.88, 6 W 2.88
W 0.3333 0.6667 0.7500  5 Ir 2.53-2.73
W 0.6667 0.3333 0.2500  5 Ir 2.53-2.73

---

Run C
IrOsW: optimized geometry, PBE.

Results
crystal system = orthorhombic
V = 14.925 Å³ per atom

Cell lengths 4.4008, 4.8492, 4.8492 Å; angles 59.92, 90.00, 90.00 degrees
With the nearest neighbours (Å) after each atom.
Sites, in units of the cell vectors:
Ir 0.2500 0.1656 0.8344  2 Ir 2.72, 5 Os 2.72-2.82, 5 W 2.74-2.85
Ir 0.7500 0.8344 0.1656  2 Ir 2.72, 5 Os 2.72-2.82, 5 W 2.74-2.85
Os 0.2500 0.8280 0.4998  2 Os 2.71, 5 W 2.72-2.83, 5 Ir 2.72-2.82
Os 0.7500 0.4998 0.8280  2 Os 2.71, 5 W 2.72-2.83, 5 Ir 2.72-2.82
W 0.2500 0.5026 0.1549  5 Os 2.72-2.83, 5 Ir 2.74-2.85, 2 W 2.77
W 0.7500 0.1549 0.5026  5 Os 2.72-2.83, 5 Ir 2.74-2.85, 2 W 2.77

---

Run D
IrOsW: optimized geometry, PBE.

Results
crystal system = orthorhombic
V = 14.883 Å³ per atom

Cell lengths 7.3905, 7.3905, 4.4308 Å; angles 90.00, 90.00, 158.35 degrees
With the nearest neighbours (Å) after each atom.
Sites, in units of the cell vectors:
Ir 0.0580 0.9420 0.7500  6 W 2.73-2.83, 2 Os 2.76, 4 Ir 2.78
Ir 0.9420 0.0580 0.2500  6 W 2.73-2.83, 2 Os 2.76, 4 Ir 2.78
Os 0.2777 0.7223 0.2500  6 Os 2.74-2.78, 4 W 2.74-2.78, 2 Ir 2.76
Os 0.7223 0.2777 0.7500  6 Os 2.74-2.78, 4 W 2.74-2.78, 2 Ir 2.76
W 0.3883 0.6117 0.7500  6 Ir 2.73-2.83, 4 Os 2.74-2.78, 2 W 2.78
W 0.6117 0.3883 0.2500  6 Ir 2.73-2.83, 4 Os 2.74-2.78, 2 W 2.78

---

From most stable to least stable, the computed energies give run D, run C, run B, run A.

---

Run A
IrOsW: optimized geometry, PBE.

Results
crystal system = tetragonal
V = 14.973 Å³ per atom

Cell lengths 6.1844, 6.1844, 6.1844 Å; angles 154.15, 154.15, 36.89 degrees
With the nearest neighbours (Å) after each atom.
Sites, in units of the cell vectors:
Ir 0.0000 0.0000 0.0000  4 Os 2.76, 4 Ir 2.77, 4 W 2.78
Os 0.3338 0.3338 0.0000  4 W 2.75, 4 Ir 2.76, 4 Os 2.77
W 0.6688 0.6688 0.0000  4 Os 2.75, 4 W 2.77, 4 Ir 2.78

---

Run B
IrOsW: optimized geometry, PBE.

Results
crystal system = cubic
V = 17.676 Å³ per atom

Cell lengths 4.2170, 4.2170, 4.2170 Å; angles 60.00, 60.00, 60.00 degrees
With the nearest neighbours (Å) after each atom.
Sites, in units of the cell vectors:
Ir 0.0000 0.0000 0.0000  4 W 2.58
Os 0.5000 0.5000 0.5000  4 W 2.58
W 0.7500 0.7500 0.7500  4 Os 2.58, 4 Ir 2.58

---

Run C
IrOsW: optimized geometry, PBE.

Results
crystal system = trigonal
V = 14.997 Å³ per atom

Cell lengths 2.7611, 2.7611, 6.8147 Å; angles 90.00, 90.00, 120.00 degrees
With the nearest neighbours (Å) after each atom.
Sites, in units of the cell vectors:
Ir 0.0000 0.0000 0.0000  6 Ir 2.76, 3 W 2.78, 3 Os 2.80
Os 0.3333 0.6667 0.3379  3 W 2.75, 6 Os 2.76, 3 Ir 2.80
W 0.6667 0.3333 0.6666  3 Os 2.75, 6 W 2.76, 3 Ir 2.78

---

Run D
IrOsW: optimized geometry, PBE.

Results
crystal system = cubic
V = 17.861 Å³ per atom

Cell lengths 4.2317, 4.2317, 4.2317 Å; angles 60.00, 60.00, 60.00 degrees
With the nearest neighbours (Å) after each atom.
Sites, in units of the cell vectors:
Ir 0.0000 0.0000 0.0000  4 Os 2.59
Os 0.2500 0.2500 0.2500  4 W 2.59, 4 Ir 2.59
W 0.5000 0.5000 0.5000  4 Os 2.59

---

From most stable to least stable, the computed energies give run A, run C, run B, run D.

---

Run A
YIr2Os: optimized geometry, PBE.

Results
crystal system = trigonal
V = 16.684 Å³ per atom

Cell lengths 9.6738, 9.6738, 9.6738 Å; angles 16.90, 16.90, 16.90 degrees
With the nearest neighbours (Å) after each atom.
Sites, in units of the cell vectors:
Y 0.0000 0.0000 0.0000  6 Y 2.84, 3 Ir 3.01, 3 Os 3.12
Ir 0.5004 0.5004 0.5004  3 Os 2.66, 9 Ir 2.79-2.84
Ir 0.7549 0.7549 0.7549  9 Ir 2.79-2.84, 3 Y 3.01
Os 0.2404 0.2404 0.2404  3 Ir 2.66, 6 Os 2.84

---

Run B
YIr2Os: optimized geometry, PBE.

Results
crystal system = tetragonal
V = 16.897 Å³ per atom

Cell lengths 4.8095, 4.8095, 2.9219 Å; angles 90.00, 90.00, 90.00 degrees
With the nearest neighbours (Å) after each atom.
Sites, in units of the cell vectors:
Y 0.0000 0.0000 0.0000  8 Ir 2.81, 2 Y 2.92
Ir 0.0000 0.5000 0.5000  4 Os 2.81, 4 Y 2.81, 2 Ir 2.92
Ir 0.5000 0.0000 0.5000  4 Os 2.81, 4 Y 2.81, 2 Ir 2.92
Os 0.5000 0.5000 0.0000  8 Ir 2.81, 2 Os 2.92

---

Run C
YIr2Os: optimized geometry, PBE.

Results
crystal system = orthorhombic
V = 17.172 Å³ per atom

Cell lengths 5.7903, 5.7903, 5.7903 Å; angles 151.23, 132.28, 56.68 degrees
With the nearest neighbours (Å) after each atom.
Sites, in units of the cell vectors:
Y 0.0000 0.0000 0.0000  4 Ir 2.75, 2 Y 2.88
Ir 0.4934 0.4934 0.0000  2 Os 2.63, 4 Y 2.75, 4 Ir 2.75-2.88
Ir 0.7237 0.2237 0.5000  4 Ir 2.75-2.88, 4 Os 2.80
Os 0.2774 0.7774 0.5000  6 Ir 2.63-2.80, 2 Os 2.88

---

From most stable to least stable, the computed energies give run C, run B, run A.

---

Run A
YIr2Os: optimized geometry, PBE.

Results
crystal system = orthorhombic
V = 16.526 Å³ per atom

Cell lengths 4.8871, 4.8871, 2.8993 Å; angles 90.00, 90.00, 107.33 degrees
With the nearest neighbours (Å) after each atom.
Sites, in units of the cell vectors:
Y 0.0000 0.0000 0.0000  8 Ir 2.84, 2 Os 2.90, 2 Y 2.90
Ir 0.0000 0.5000 0.5000  4 Os 2.84, 4 Y 2.84, 4 Ir 2.90
Ir 0.5000 0.0000 0.5000  4 Os 2.84, 4 Y 2.84, 4 Ir 2.90
Os 0.5000 0.5000 0.0000  8 Ir 2.84, 2 Y 2.90, 2 Os 2.90

---

Run B
YIr2Os: optimized geometry, PBE.

Results
crystal system = monoclinic
V = 17.032 Å³ per atom

Cell lengths 4.9399, 4.9399, 5.0799 Å; angles 99.67, 99.67, 33.94 degrees
With the nearest neighbours (Å) after each atom.
Sites, in units of the cell vectors:
Y 0.0000 0.0000 0.0000  2 Y 2.88, 6 Ir 2.92-2.99, 4 Os 2.92
Ir 0.2413 0.2413 0.7114  4 Ir 2.62-2.88, 3 Os 2.75-2.84, 1 Y 2.92
Ir 0.7587 0.7587 0.2886  4 Ir 2.62-2.88, 3 Os 2.75-2.84, 1 Y 2.92
Os 0.5000 0.5000 0.5000  6 Ir 2.75-2.84, 2 Os 2.88, 4 Y 2.92

---

From most stable to least stable, the computed energies give run A, run B.

---

Run A
YIrOs: optimized geometry, PBE.

Results
crystal system = orthorhombic
V = 18.145 Å³ per atom

Cell lengths 8.9063, 5.2987, 5.2987 Å; angles 60.55, 90.00, 90.00 degrees
With the nearest neighbours (Å) after each atom.
Sites, in units of the cell vectors:
Y 0.1813 0.0000 0.0000  7 Ir 3.08-3.13, 5 Os 3.12-3.21, 4 Y 3.23-3.30
Y 0.3163 0.3329 0.3329  5 Ir 3.09-3.19, 7 Os 3.11-3.19, 4 Y 3.27-3.30
Y 0.6837 0.3329 0.3329  5 Ir 3.09-3.19, 7 Os 3.11-3.19, 4 Y 3.27-3.30
Y 0.8187 0.0000 0.0000  7 Ir 3.08-3.13, 5 Os 3.12-3.21, 4 Y 3.23-3.30
Ir 0.0000 0.0094 0.5012  2 Os 2.58-2.72, 4 Ir 2.63-2.73
Ir 0.0000 0.5012 0.0094  2 Os 2.58-2.72, 4 Ir 2.63-2.73
Ir 0.2490 0.6639 0.6639  4 Os 2.69-2.76, 2 Ir 2.73
Ir 0.7510 0.6639 0.6639  4 Os 2.69-2.76, 2 Ir 2.73
Os 0.0000 0.4975 0.4975  6 Ir 2.58-2.72
Os 0.5000 0.3271 0.8371  4 Os 2.56-2.74, 2 Ir 2.72
Os 0.5000 0.8371 0.3271  4 Os 2.56-2.74, 2 Ir 2.72
Os 0.5000 0.8414 0.8414  4 Os 2.56-2.74, 2 Ir 2.76

---

Run B
YIrOs: optimized geometry, PBE.

Results
crystal system = orthorhombic
V = 18.195 Å³ per atom

Cell lengths 5.3927, 5.3927, 5.3927 Å; angles 122.61, 119.25, 88.42 degrees
With the nearest neighbours (Å) after each atom.
Sites, in units of the cell vectors:
Y 0.3726 0.1226 0.2500  6 Ir 3.08-3.22, 6 Os 3.16-3.18, 4 Y 3.25-3.32
Y 0.6274 0.8774 0.7500  6 Ir 3.08-3.22, 6 Os 3.16-3.18, 4 Y 3.25-3.32
Ir 0.0000 0.5000 0.5000  4 Os 2.70, 2 Ir 2.73
Ir 0.5000 0.5000 0.0000  4 Os 2.70, 2 Ir 2.73
Os 0.0000 0.0000 0.5000  2 Os 2.59, 4 Ir 2.70
Os 0.0000 0.5000 0.0000  2 Os 2.59, 4 Ir 2.70

---

Run C
YIrOs: optimized geometry, PBE.

Results
crystal system = trigonal
V = 17.519 Å³ per atom

Cell lengths 2.8764, 2.8764, 7.3352 Å; angles 90.00, 90.00, 120.00 degrees
With the nearest neighbours (Å) after each atom.
Sites, in units of the cell vectors:
Y 0.0000 0.0000 0.0000  6 Y 2.88, 3 Ir 3.08, 3 Os 3.11
Ir 0.6667 0.3333 0.3535  3 Os 2.69, 6 Ir 2.88
Os 0.3333 0.6667 0.6416  3 Ir 2.69, 6 Os 2.88

---

Run D
YIrOs: optimized geometry, PBE.

Results
crystal system = cubic
V = 20.871 Å³ per atom

Cell lengths 4.4572, 4.4572, 4.4572 Å; angles 60.00, 60.00, 60.00 degrees
With the nearest neighbours (Å) after each atom.
Sites, in units of the cell vectors:
Y 0.0000 0.0000 0.0000  4 Os 2.73
Ir 0.5000 0.5000 0.5000  4 Os 2.73
Os 0.7500 0.7500 0.7500  4 Ir 2.73, 4 Y 2.73

---

From most stable to least stable, the computed energies give run A, run B, run D, run C.

---

Run A
YIr3Os: optimized geometry, PBE.

Results
crystal system = cubic
V = 22.036 Å³ per atom

Cell lengths 4.7940, 4.7940, 4.7940 Å; angles 90.00, 90.00, 90.00 degrees
With the nearest neighbours (Å) after each atom.
Sites, in units of the cell vectors:
Y 0.0000 0.0000 0.0000  6 Ir 2.40
Ir 0.0000 0.0000 0.5000  2 Y 2.40
Ir 0.0000 0.5000 0.0000  2 Y 2.40
Ir 0.5000 0.0000 0.0000  2 Y 2.40
Os 0.5000 0.5000 0.5000  12 Ir 3.39

---

Run B
YIr3Os: optimized geometry, PBE.

Results
crystal system = cubic
V = 21.682 Å³ per atom

Cell lengths 4.7682, 4.7682, 4.7682 Å; angles 90.00, 90.00, 90.00 degrees
With the nearest neighbours (Å) after each atom.
Sites, in units of the cell vectors:
Y 0.0000 0.0000 0.0000  12 Ir 3.37
Ir 0.0000 0.5000 0.5000  2 Os 2.38
Ir 0.5000 0.0000 0.5000  2 Os 2.38
Ir 0.5000 0.5000 0.0000  2 Os 2.38
Os 0.5000 0.5000 0.5000  6 Ir 2.38

---

From most stable to least stable, the computed energies give run B, run A.

---

Run A
ZnIr3Os: optimized geometry, PBE.

Results
crystal system = cubic
V = 21.348 Å³ per atom

Cell lengths 4.7436, 4.7436, 4.7436 Å; angles 90.00, 90.00, 90.00 degrees
With the nearest neighbours (Å) after each atom.
Sites, in units of the cell vectors:
Zn 0.0000 0.0000 0.0000  12 Ir 3.35
Ir 0.0000 0.5000 0.5000  2 Os 2.37
Ir 0.5000 0.0000 0.5000  2 Os 2.37
Ir 0.5000 0.5000 0.0000  2 Os 2.37
Os 0.5000 0.5000 0.5000  6 Ir 2.37

---

Run B
ZnIr3Os: optimized geometry, PBE.

Results
crystal system = cubic
V = 17.418 Å³ per atom

Cell lengths 4.4326, 4.4326, 4.4326 Å; angles 90.00, 90.00, 90.00 degrees
With the nearest neighbours (Å) after each atom.
Sites, in units of the cell vectors:
Zn 0.0000 0.0000 0.0000  6 Ir 2.22
Ir 0.0000 0.0000 0.5000  2 Zn 2.22
Ir 0.0000 0.5000 0.0000  2 Zn 2.22
Ir 0.5000 0.0000 0.0000  2 Zn 2.22
Os 0.5000 0.5000 0.5000  12 Ir 3.13

---

From most stable to least stable, the computed energies give run A, run B.